[1]
# PaGaCo5As2 PBE optimized geometry
# * spin magnetization: 5.3 μB per formula unit
# * formation energy from the elements: -0.3430 eV per atom
# * SG: P4/mmm, No. 123
data_PaGaCo5As2
_space_group_name_H-M_alt 'P 1'
_space_group_IT_number 1
_space_group_name_Hall 'P 1'
_cell_length_a 3.9752
_cell_length_b 3.9752
_cell_length_c 7.9803
_cell_angle_alpha 90.00
_cell_angle_beta 90.00
_cell_angle_gamma 90.00
loop_
_atom_site_label
_atom_site_type_symbol
_atom_site_fract_x
_atom_site_fract_y
_atom_site_fract_z
Pa1 Pa 0.0000 0.0000 0.0000
Ga1 Ga 0.0000 0.0000 0.5000
Co1 Co 0.0000 0.5000 0.3125
Co2 Co 0.0000 0.5000 0.6875
Co3 Co 0.5000 0.0000 0.3125
Co4 Co 0.5000 0.0000 0.6875
Co5 Co 0.5000 0.5000 0.5000
As1 As 0.5000 0.5000 0.1640
As2 As 0.5000 0.5000 0.8360

[2]
# Pa2GaCo4As3 PBE optimized geometry
# * spin magnetization: 1.3 μB per formula unit
# * formation energy from the elements: -0.6703 eV per atom
# * SG: P-4m2, No. 115
data_Pa2GaCo4As3
_space_group_name_H-M_alt 'P 1'
_space_group_IT_number 1
_space_group_name_Hall 'P 1'
_cell_length_a 4.0245
_cell_length_b 4.0245
_cell_length_c 9.6406
_cell_angle_alpha 90.00
_cell_angle_beta 90.00
_cell_angle_gamma 90.00
loop_
_atom_site_label
_atom_site_type_symbol
_atom_site_fract_x
_atom_site_fract_y
_atom_site_fract_z
Pa1 Pa 0.0000 0.5000 0.2462
Pa2 Pa 0.5000 0.0000 0.7538
Ga1 Ga 0.0000 0.0000 0.5000
Co1 Co 0.0000 0.0000 0.0000
Co2 Co 0.0000 0.5000 0.6333
Co3 Co 0.5000 0.0000 0.3667
Co4 Co 0.5000 0.5000 0.0000
As1 As 0.0000 0.5000 0.8693
As2 As 0.5000 0.0000 0.1307
As3 As 0.5000 0.5000 0.5000

[3]
# Rb2GaCoAs PBE optimized geometry
# * spin magnetization: 0.4 μB per formula unit
# * formation energy from the elements: 0.3411 eV per atom
# * SG: P4/mmm, No. 123
data_Rb2GaCoAs
_space_group_name_H-M_alt 'P 1'
_space_group_IT_number 1
_space_group_name_Hall 'P 1'
_cell_length_a 6.7086
_cell_length_b 6.7086
_cell_length_c 4.3641
_cell_angle_alpha 90.00
_cell_angle_beta 90.00
_cell_angle_gamma 90.00
loop_
_atom_site_label
_atom_site_type_symbol
_atom_site_fract_x
_atom_site_fract_y
_atom_site_fract_z
Rb1 Rb 0.0000 0.5000 0.0000
Rb2 Rb 0.5000 0.0000 0.0000
Ga1 Ga 0.0000 0.0000 0.5000
Co1 Co 0.5000 0.5000 0.5000
As1 As 0.5000 0.5000 0.0000

[4]
# Ga2CoAsRu PBE optimized geometry
# * spin magnetization: 1.8 μB per formula unit
# * formation energy from the elements: 0.6351 eV per atom
# * SG: P4/mmm, No. 123
data_Ga2CoAsRu
_space_group_name_H-M_alt 'P 1'
_space_group_IT_number 1
_space_group_name_Hall 'P 1'
_cell_length_a 4.7765
_cell_length_b 4.7765
_cell_length_c 4.5990
_cell_angle_alpha 90.00
_cell_angle_beta 90.00
_cell_angle_gamma 90.00
loop_
_atom_site_label
_atom_site_type_symbol
_atom_site_fract_x
_atom_site_fract_y
_atom_site_fract_z
Ga1 Ga 0.0000 0.5000 0.0000
Ga2 Ga 0.5000 0.0000 0.0000
Co1 Co 0.0000 0.0000 0.5000
As1 As 0.5000 0.5000 0.5000
Ru1 Ru 0.5000 0.5000 0.0000

[5]
# Ga2CoSbAs PBE optimized geometry
# * spin magnetization: 1.6 μB per formula unit
# * formation energy from raw total energies: 478 meV per atom
# * SG: P4/mmm, No. 123
data_Ga2CoSbAs
_space_group_name_H-M_alt 'P 1'
_space_group_IT_number 1
_space_group_name_Hall 'P 1'
_cell_length_a 5.0252
_cell_length_b 5.0252
_cell_length_c 4.3802
_cell_angle_alpha 90.00
_cell_angle_beta 90.00
_cell_angle_gamma 90.00
loop_
_atom_site_label
_atom_site_type_symbol
_atom_site_fract_x
_atom_site_fract_y
_atom_site_fract_z
Ga1 Ga 0.0000 0.5000 0.0000
Ga2 Ga 0.5000 0.0000 0.0000
Co1 Co 0.0000 0.0000 0.5000
Sb1 Sb 0.5000 0.5000 0.5000
As1 As 0.0000 0.0000 0.0000

[6]
# GaCoAs2Se PBE optimized geometry
# * spin magnetization: 2.0 μB per formula unit
# * formation energy from raw total energies: 1070 meV per atom
# * SG: P4/mmm, No. 123
data_GaCoAs2Se
_space_group_name_H-M_alt 'P 1'
_space_group_IT_number 1
_space_group_name_Hall 'P 1'
_cell_length_a 4.8370
_cell_length_b 4.8370
_cell_length_c 4.9985
_cell_angle_alpha 90.00
_cell_angle_beta 90.00
_cell_angle_gamma 90.00
loop_
_atom_site_label
_atom_site_type_symbol
_atom_site_fract_x
_atom_site_fract_y
_atom_site_fract_z
Ga1 Ga 0.0000 0.0000 0.0000
Co1 Co 0.5000 0.5000 0.5000
As1 As 0.0000 0.5000 0.0000
As2 As 0.5000 0.0000 0.0000
Se1 Se 0.0000 0.0000 0.5000

[7]
# GaCoAs2Se PBE optimized geometry
# * spin magnetization: 0.0 μB per formula unit
# * formation energy from raw total energies: 289 meV per atom
# * SG: P4/mmm, No. 123
data_GaCoAs2Se
_space_group_name_H-M_alt 'P 1'
_space_group_IT_number 1
_space_group_name_Hall 'P 1'
_cell_length_a 4.4383
_cell_length_b 4.4383
_cell_length_c 5.3677
_cell_angle_alpha 90.00
_cell_angle_beta 90.00
_cell_angle_gamma 90.00
loop_
_atom_site_label
_atom_site_type_symbol
_atom_site_fract_x
_atom_site_fract_y
_atom_site_fract_z
Ga1 Ga 0.0000 0.0000 0.0000
Co1 Co 0.5000 0.5000 0.5000
As1 As 0.0000 0.5000 0.5000
As2 As 0.5000 0.0000 0.5000
Se1 Se 0.5000 0.5000 0.0000

[8]
# Ga2CoTcAs PBE optimized geometry
# * spin magnetization: 0.0 μB per formula unit
# * formation energy from the elements: 0.8369 eV per atom
# * SG: P4/mmm, No. 123
data_Ga2CoTcAs
_space_group_name_H-M_alt 'P 1'
_space_group_IT_number 1
_space_group_name_Hall 'P 1'
_cell_length_a 4.7691
_cell_length_b 4.7691
_cell_length_c 4.4947
_cell_angle_alpha 90.00
_cell_angle_beta 90.00
_cell_angle_gamma 90.00
loop_
_atom_site_label
_atom_site_type_symbol
_atom_site_fract_x
_atom_site_fract_y
_atom_site_fract_z
Ga1 Ga 0.0000 0.5000 0.0000
Ga2 Ga 0.5000 0.0000 0.0000
Co1 Co 0.0000 0.0000 0.5000
Tc1 Tc 0.0000 0.0000 0.0000
As1 As 0.5000 0.5000 0.5000

[9]
# TlGaCoAs2 PBE optimized geometry
# * spin magnetization: 2.3 μB per formula unit
# * formation energy from the elements: 1.4992 eV per atom
# * SG: P4/mmm, No. 123
data_TlGaCoAs2
_space_group_name_H-M_alt 'P 1'
_space_group_IT_number 1
_space_group_name_Hall 'P 1'
_cell_length_a 5.3436
_cell_length_b 5.3436
_cell_length_c 5.1898
_cell_angle_alpha 90.00
_cell_angle_beta 90.00
_cell_angle_gamma 90.00
loop_
_atom_site_label
_atom_site_type_symbol
_atom_site_fract_x
_atom_site_fract_y
_atom_site_fract_z
Tl1 Tl 0.0000 0.0000 0.0000
Ga1 Ga 0.0000 0.0000 0.5000
Co1 Co 0.5000 0.5000 0.5000
As1 As 0.0000 0.5000 0.0000
As2 As 0.5000 0.0000 0.0000

[10]
# UGaCo5As2 PBE optimized geometry
# * spin magnetization: 6.9 μB per formula unit
# * formation energy from the elements: -0.2630 eV per atom
# * SG: P4/mmm, No. 123
data_UGaCo5As2
_space_group_name_H-M_alt 'P 1'
_space_group_IT_number 1
_space_group_name_Hall 'P 1'
_cell_length_a 3.9061
_cell_length_b 3.9061
_cell_length_c 8.2001
_cell_angle_alpha 90.00
_cell_angle_beta 90.00
_cell_angle_gamma 90.00
loop_
_atom_site_label
_atom_site_type_symbol
_atom_site_fract_x
_atom_site_fract_y
_atom_site_fract_z
U1 U 0.0000 0.0000 0.0000
Ga1 Ga 0.0000 0.0000 0.5000
Co1 Co 0.0000 0.5000 0.3155
Co2 Co 0.0000 0.5000 0.6845
Co3 Co 0.5000 0.0000 0.3155
Co4 Co 0.5000 0.0000 0.6845
Co5 Co 0.5000 0.5000 0.5000
As1 As 0.5000 0.5000 0.1622
As2 As 0.5000 0.5000 0.8378

[11]
# VGaCoAs2 PBE optimized geometry
# * spin magnetization: 0.0 μB per formula unit
# * formation energy from the elements: 0.5198 eV per atom
# * SG: P4/mmm, No. 123
data_VGaCoAs2
_space_group_name_H-M_alt 'P 1'
_space_group_IT_number 1
_space_group_name_Hall 'P 1'
_cell_length_a 4.4140
_cell_length_b 4.4140
_cell_length_c 4.6543
_cell_angle_alpha 90.00
_cell_angle_beta 90.00
_cell_angle_gamma 90.00
loop_
_atom_site_label
_atom_site_type_symbol
_atom_site_fract_x
_atom_site_fract_y
_atom_site_fract_z
V1 V 0.0000 0.0000 0.0000
Ga1 Ga 0.5000 0.5000 0.0000
Co1 Co 0.0000 0.0000 0.5000
As1 As 0.0000 0.5000 0.5000
As2 As 0.5000 0.0000 0.5000

[12]
# CoGeAs2 PBE optimized geometry
# * spin magnetization: 0.0 μB per formula unit
# * formation energy from the elements: 0.0250 eV per atom
# * SG: I-42d, No. 122
data_CoGeAs2
_space_group_name_H-M_alt 'P 1'
_space_group_IT_number 1
_space_group_name_Hall 'P 1'
_cell_length_a 6.7929
_cell_length_b 6.7929
_cell_length_c 6.7929
_cell_angle_alpha 132.35
_cell_angle_beta 132.35
_cell_angle_gamma 69.68
loop_
_atom_site_label
_atom_site_type_symbol
_atom_site_fract_x
_atom_site_fract_y
_atom_site_fract_z
Co1 Co 0.0000 0.0000 0.0000
Co2 Co 0.7500 0.2500 0.5000
Ge1 Ge 0.2500 0.7500 0.5000
Ge2 Ge 0.5000 0.5000 0.0000
As1 As 0.0834 0.1250 0.4584
As2 As 0.3750 0.9166 0.0416
As3 As 0.6666 0.6250 0.5416
As4 As 0.8750 0.3334 0.9584